VASP calculation (PBE-GGA) on a relaxed PaHSeS crystal.

energy = -6.3275 eV/atom
space group = Cm

a b c (Å): 3.8556 3.8556 7.2350
angles (deg): 90.08 105.37 120.00
Sites, in units of the cell vectors:
1 S 0.0128 0.8703 0.8830
2 H 0.5050 0.6172 0.1223
3 Se 0.3414 0.0359 0.3773
4 Pa 0.8329 0.2810 0.1139